Record 1
# PBE Th4BiTe2Rh, optimized geometry
# Final energy = -6.79 eV per atom
# DOS at the Fermi energy = 0.68 states/eV per atom
# ΔE_f (raw) = -0.886 eV per atom
# Total moment = 0.000 μB per atom
data_Th4BiTe2Rh
_cell_length_a 7.8047
_cell_length_b 4.2640
_cell_length_c 7.9349
_cell_angle_alpha 90.00
_cell_angle_beta 107.69
_cell_angle_gamma 90.00
_space_group_name_H-M_alt 'P 1'
_space_group_IT_number 1
_space_group_name_Hall 'P 1'
loop_
_atom_site_label
_atom_site_type_symbol
_atom_site_fract_x
_atom_site_fract_y
_atom_site_fract_z
_atom_site_occupancy
Th1 Th 0.2101 0.0000 0.2098 1
Th2 Th 0.2374 0.5000 0.7712 1
Th3 Th 0.7626 0.5000 0.2288 1
Th4 Th 0.7899 0.0000 0.7902 1
Bi1 Bi 0.0000 0.0000 0.5000 1
Te1 Te 0.5000 0.0000 0.0000 1
Te2 Te 0.5000 0.5000 0.5000 1
Rh1 Rh 0.0000 0.5000 0.0000 1


Record 2
# PBE CrFeRh2, optimized geometry
# Formation enthalpy at 0 K = -0.38 kcal/mol of atoms
# Final energy = -8.21 eV per atom
# DOS at the Fermi energy = 1.15 states/eV per atom
# Total moment = 0.350 μB per atom
data_CrFeRh2
_cell_length_a 2.6942
_cell_length_b 3.6672
_cell_length_c 5.3481
_cell_angle_alpha 90.00
_cell_angle_beta 90.00
_cell_angle_gamma 90.00
_space_group_name_H-M_alt 'P 1'
_space_group_IT_number 1
_space_group_name_Hall 'P 1'
loop_
_atom_site_label
_atom_site_type_symbol
_atom_site_fract_x
_atom_site_fract_y
_atom_site_fract_z
_atom_site_occupancy
Cr1 Cr 0.0000 0.0000 0.0000 1
Fe1 Fe 0.5000 0.5000 0.2461 1
Rh1 Rh 0.0000 0.0000 0.4810 1
Rh2 Rh 0.5000 0.5000 0.7675 1


Record 3
# PBE Te2HWI, optimized geometry
# Excess energy over the best structure of this formula in the dataset = 392 meV/atom
# Final energy = -3.57 eV per atom
# DOS at the Fermi energy = 0.66 states/eV per atom
# Total moment = 0.881 μB per atom
data_Te2HWI
_cell_length_a 4.3290
_cell_length_b 4.3290
_cell_length_c 7.0100
_cell_angle_alpha 90.00
_cell_angle_beta 90.00
_cell_angle_gamma 90.00
_space_group_name_H-M_alt 'P 1'
_space_group_IT_number 1
_space_group_name_Hall 'P 1'
loop_
_atom_site_label
_atom_site_type_symbol
_atom_site_fract_x
_atom_site_fract_y
_atom_site_fract_z
_atom_site_occupancy
Te1 Te 0.0000 0.5000 0.0000 1
Te2 Te 0.5000 0.0000 0.0000 1
H1 H 0.0000 0.0000 0.0000 1
W1 W 0.5000 0.5000 0.5000 1
I1 I 0.0000 0.0000 0.5000 1


Record 4
# PBE ZnSiTe2, optimized geometry
# Excess energy over the best structure of this formula in the dataset = 389 meV/atom
# Final energy = -2.86 eV per atom
# DOS at the Fermi energy = 0.62 states/eV per atom
# ΔE_f (raw) = 0.384 eV per atom
# Total moment = 0.000 μB per atom
data_ZnSiTe2
_cell_length_a 4.9927
_cell_length_b 4.9927
_cell_length_c 3.6417
_cell_angle_alpha 90.00
_cell_angle_beta 90.00
_cell_angle_gamma 91.43
_space_group_name_H-M_alt 'P 1'
_space_group_IT_number 1
_space_group_name_Hall 'P 1'
loop_
_atom_site_label
_atom_site_type_symbol
_atom_site_fract_x
_atom_site_fract_y
_atom_site_fract_z
_atom_site_occupancy
Zn1 Zn 0.0000 0.0000 0.0000 1
Si1 Si 0.5000 0.5000 0.0000 1
Te1 Te 0.0000 0.5000 0.5000 1
Te2 Te 0.5000 0.0000 0.5000 1


Record 5
# PBE Cd2BPt3, optimized geometry
# Formation enthalpy at 0 K = -3.59 kcal/mol of atoms
# Final energy = -4.59 eV per atom
# DOS at the Fermi energy = 0.18 states/eV per atom
# Total moment = 0.000 μB per atom
data_Cd2BPt3
_cell_length_a 4.8058
_cell_length_b 4.8058
_cell_length_c 4.8058
_cell_angle_alpha 69.87
_cell_angle_beta 69.87
_cell_angle_gamma 69.87
_space_group_name_H-M_alt 'P 1'
_space_group_IT_number 1
_space_group_name_Hall 'P 1'
loop_
_atom_site_label
_atom_site_type_symbol
_atom_site_fract_x
_atom_site_fract_y
_atom_site_fract_z
_atom_site_occupancy
Cd1 Cd 0.1229 0.1229 0.1229 1
Cd2 Cd 0.8771 0.8771 0.8771 1
B1 B 0.5000 0.5000 0.5000 1
Pt1 Pt 0.0000 0.5000 0.5000 1
Pt2 Pt 0.5000 0.0000 0.5000 1
Pt3 Pt 0.5000 0.5000 0.0000 1


Record 6
# PBE SbCl, optimized geometry
# Excess energy over the best structure of this formula in the dataset = 61 meV/atom
# Final energy = -3.40 eV per atom
# DOS at the Fermi energy = 0.03 states/eV per atom
# ΔE_f (raw) = -0.414 eV per atom
# Total moment = 0.000 μB per atom
data_SbCl
_cell_length_a 11.0130
_cell_length_b 7.2616
_cell_length_c 5.9524
_cell_angle_alpha 90.00
_cell_angle_beta 90.00
_cell_angle_gamma 90.00
_space_group_name_H-M_alt 'P 1'
_space_group_IT_number 1
_space_group_name_Hall 'P 1'
loop_
_atom_site_label
_atom_site_type_symbol
_atom_site_fract_x
_atom_site_fract_y
_atom_site_fract_z
_atom_site_occupancy
Sb1 Sb 0.0000 0.2390 0.0000 1
Sb2 Sb 0.2250 0.0209 0.0204 1
Sb3 Sb 0.2750 0.9791 0.5204 1
Sb4 Sb 0.5000 0.7610 0.5000 1
Sb5 Sb 0.7250 0.9791 0.5204 1
Sb6 Sb 0.7750 0.0209 0.0204 1
Cl1 Cl 0.0000 0.2540 0.5816 1
Cl2 Cl 0.1634 0.7032 0.0170 1
Cl3 Cl 0.3366 0.2968 0.5170 1
Cl4 Cl 0.5000 0.7460 0.0816 1
Cl5 Cl 0.6634 0.2968 0.5170 1
Cl6 Cl 0.8366 0.7032 0.0170 1


Record 7
# PBE SmYS2O, optimized geometry
# Final energy = -7.39 eV per atom
# DOS at the Fermi energy = 0.15 states/eV per atom
# ΔE_f (raw) = -2.514 eV per atom
# Total moment = 0.000 μB per atom
data_SmYS2O
_cell_length_a 3.9215
_cell_length_b 3.9215
_cell_length_c 13.9526
_cell_angle_alpha 90.00
_cell_angle_beta 90.00
_cell_angle_gamma 90.00
_space_group_name_H-M_alt 'P 1'
_space_group_IT_number 1
_space_group_name_Hall 'P 1'
loop_
_atom_site_label
_atom_site_type_symbol
_atom_site_fract_x
_atom_site_fract_y
_atom_site_fract_z
_atom_site_occupancy
Sm1 Sm 0.2500 0.2500 0.0859 1
Sm2 Sm 0.7500 0.7500 0.9141 1
Y1 Y 0.2500 0.2500 0.6231 1
Y2 Y 0.7500 0.7500 0.3769 1
S1 S 0.2500 0.2500 0.4101 1
S2 S 0.2500 0.2500 0.8025 1
S3 S 0.7500 0.7500 0.1975 1
S4 S 0.7500 0.7500 0.5899 1
O1 O 0.2500 0.7500 0.0000 1
O2 O 0.7500 0.2500 0.0000 1